# 1
A geometry-optimized Ru3Pb structure, computed with PBE.

Cell: 2.9368 9.0586 4.8577 Å, 90.00 90.00 90.00°
With the nearest neighbours (Å) after each atom.
Space group Imm2 (No. 44)
Asymmetric unit:
Ru 0.0000 0.0000 0.0000 (multiplicity 2)  8 Ru 2.71-2.94, 4 Pb 2.76-2.92
Ru 0.0000 0.2633 0.3416 (multiplicity 4)  9 Ru 2.71-2.94, 3 Pb 2.77-2.88
Pb 0.0000 0.5000 0.9809 (multiplicity 2)  10 Ru 2.76-2.92, 2 Pb 2.94

* energy of formation: 0.52 eV per atom

# 2
A geometry-optimized Ru3Pb structure, computed with PBE.

Cell: 7.6133 8.7883 4.4287 Å, 90.00 90.00 90.00°
With the nearest neighbours (Å) after each atom.
Space group Cmcm (No. 63)
Asymmetric unit:
Ru 0.0000 0.0614 0.2500 (multiplicity 4)  4 Ru 2.46-2.68
Ru 0.1614 0.2100 0.7500 (multiplicity 8)  4 Ru 2.46-2.69, 1 Pb 2.71
Pb 0.0000 0.3855 0.2500 (multiplicity 4)  7 Ru 2.71-2.97, 2 Pb 2.99

* energy of formation: 0.73 eV per atom

# 3
A geometry-optimized RuPb4 structure, computed with PBE.

Cell: 6.6347 6.6347 6.6347 Å, 90.00 90.00 90.00°
With the nearest neighbours (Å) after each atom.
Space group Im-3m (No. 229)
Asymmetric unit:
Ru 0.0000 0.0000 0.0000 (multiplicity 2)  8 Pb 2.87
Pb 0.2500 0.2500 0.2500 (multiplicity 8)  2 Ru 2.87

* energy of formation: 0.41 eV per atom

# 4
A geometry-optimized RuPb3 structure, computed with PBE.

Cell: 4.5188 4.5188 20.3560 Å, 90.00 90.00 90.00°
With the nearest neighbours (Å) after each atom.
Space group I4/mmm (No. 139)
Asymmetric unit:
Ru 0.0000 0.0000 0.1640 (multiplicity 4)  4 Pb 2.86
Pb 0.0000 0.0000 0.3768 (multiplicity 4)  4 Ru 3.30, 8 Pb 3.38-3.43
Pb 0.0000 0.5000 0.0000 (multiplicity 4)  8 Pb 3.20-3.38
Pb 0.0000 0.5000 0.2500 (multiplicity 4)  4 Ru 2.86, 4 Pb 3.20

* energy of formation: 0.54 eV per atom
* relative energy among the computed polymorphs: 302 meV/atom

# 5
A geometry-optimized RuPb3 structure, computed with PBE.

Cell: 6.6794 8.3943 3.5298 Å, 90.00 90.00 90.00°
With the nearest neighbours (Å) after each atom.
Space group Cmmm (No. 65)
Asymmetric unit:
Ru 0.0000 0.0000 0.0000 (multiplicity 2)  10 Pb 3.21-3.34, 2 Ru 3.53
Pb 0.0000 0.5000 0.0000 (multiplicity 2)  10 Pb 3.21-3.53, 2 Ru 3.34
Pb 0.2500 0.2500 0.5000 (multiplicity 4)  8 Pb 3.21-3.53, 4 Ru 3.21

* energy of formation: 0.62 eV per atom
* relative energy among the computed polymorphs: 383 meV/atom

# 6
A geometry-optimized RuPb structure, computed with PBE.

Cell: 8.1679 8.1679 8.1679 Å, 90.00 90.00 90.00°
With the nearest neighbours (Å) after each atom.
Space group I-43m (No. 217)
Asymmetric unit:
Ru 0.1117 0.1117 0.1117 (multiplicity 8)  3 Ru 2.58, 4 Pb 2.63-2.77
Pb 0.2024 0.2024 0.7976 (multiplicity 8)  4 Ru 2.63-2.77

* energy of formation: 0.80 eV per atom

# 7
A geometry-optimized RuPb structure, computed with PBE.

Cell: 10.1527 3.2087 7.3926 Å, 90.00 103.75 90.00°
With the nearest neighbours (Å) after each atom.
Space group Cm (No. 8)
Asymmetric unit:
Ru 0.0000 0.0000 0.0000 (multiplicity 2)  7 Pb 2.75-3.03, 2 Ru 2.89
Ru 0.1060 0.0000 0.6154 (multiplicity 2)  7 Pb 2.76-2.85
Ru 0.3674 0.0000 0.2295 (multiplicity 2)  6 Pb 2.75-3.05, 2 Ru 2.89
Pb 0.1462 0.5000 0.3196 (multiplicity 2)  7 Ru 2.75-2.96
Pb 0.2217 0.5000 0.9256 (multiplicity 2)  7 Ru 2.75-2.92
Pb 0.3919 0.0000 0.6488 (multiplicity 2)  6 Ru 2.76-3.05

* energy of formation: 0.57 eV per atom

# 8
A geometry-optimized RuPb structure, computed with PBE.

Cell: 6.8329 6.8329 6.8329 Å, 90.00 90.00 90.00°
With the nearest neighbours (Å) after each atom.
Space group Fd-3m (No. 227, origin choice 2)
Asymmetric unit:
Ru 0.1250 0.1250 0.1250 (multiplicity 8)  4 Pb 2.96, 4 Ru 2.96
Pb 0.1250 0.1250 0.6250 (multiplicity 8)  4 Pb 2.96, 4 Ru 2.96

* energy of formation: 0.80 eV per atom

# 9
A geometry-optimized Ru3Pb structure, computed with PBE.

Cell: 2.9164 2.9164 27.2588 Å, 90.00 90.00 120.00°
With the nearest neighbours (Å) after each atom.
Space group R-3m (No. 166, hexagonal axes)
Asymmetric unit:
Ru 0.0000 0.0000 0.0000 (multiplicity 3)  12 Ru 2.66-2.92
Ru 0.0000 0.0000 0.2580 (multiplicity 6)  9 Ru 2.66-2.92
Pb 0.0000 0.0000 0.5000 (multiplicity 3)  6 Pb 2.92, 6 Ru 3.00

* energy of formation: 0.65 eV per atom

# 10
A geometry-optimized RuPb structure, computed with PBE.

Cell: 3.2903 3.2903 8.3223 Å, 90.00 90.00 120.00°
With the nearest neighbours (Å) after each atom.
Space group P6_3/mmc (No. 194)
Asymmetric unit:
Ru 0.3333 0.6667 0.2500 (multiplicity 2)  6 Pb 2.82
Pb 0.0000 0.0000 0.0000 (multiplicity 2)  6 Ru 2.82

* energy of formation: 0.61 eV per atom

# 11
A geometry-optimized RuPb5 structure, computed with PBE.

Cell: 5.4570 3.6342 16.6285 Å, 90.00 90.00 90.00°
With the nearest neighbours (Å) after each atom.
Space group Amm2 (No. 38)
Asymmetric unit:
Ru 0.0000 0.0000 0.0000 (multiplicity 2)  4 Pb 2.87-3.01
Pb 0.0000 0.0000 0.3560 (multiplicity 2)  2 Ru 3.01, 2 Pb 3.24
Pb 0.0000 0.0000 0.6333 (multiplicity 2)  2 Ru 2.87
Pb 0.5000 0.0000 0.1156 (multiplicity 2)  8 Pb 3.14-3.30, 2 Ru 3.34
Pb 0.5000 0.0000 0.4616 (multiplicity 2)  6 Pb 3.14-3.50, 4 Ru 3.34
Pb 0.5000 0.0000 0.7815 (multiplicity 2)  12 Pb 3.30-3.68

* energy of formation: 0.32 eV per atom
* relative energy among the computed polymorphs: 132 meV/atom

# 12
A geometry-optimized Ru5Pb3 structure, computed with PBE.

Cell: 8.3138 8.3138 5.0518 Å, 90.00 90.00 120.00°
With the nearest neighbours (Å) after each atom.
Space group P6_3/mcm (No. 193)
Asymmetric unit:
Ru 0.0000 0.1793 0.2500 (multiplicity 6)  2 Ru 2.58, 2 Pb 2.76
Ru 0.3333 0.6667 0.0000 (multiplicity 4)  2 Ru 2.53
Pb 0.0000 0.3836 0.7500 (multiplicity 6)  8 Ru 2.76-3.04

* energy of formation: 0.71 eV per atom
* relative energy among the computed polymorphs: 254 meV/atom